DFT (PBE) results for crystalline Ac3HgC at its relaxed geometry.

Values from the calculation:
Space group: Pm-3m (221)
Spin magnetization (μB per atom): 0.00
Mass density (g/cm3): 9.19
E_form (eV per atom): -0.0540
Volume (Å³ per cell): 161.55
Energy above the lowest structure with this stoichiometry (meV/atom): 59

Lattice parameters (Å, degrees): 5.446 5.446 5.446 90.00 90.00 90.00
Element x y z (fractional)
Hg1 0.500 0.500 0.500
Ac1 0.500 0.000 0.000
Ac2 0.000 0.500 0.000
C1 0.000 0.000 0.000
Ac3 0.000 0.000 0.500

DFT (PBE) results for crystalline Ac3HgC at its relaxed geometry.

Values from the calculation:
Space group: P2_1/m (11)
Spin magnetization (μB per atom): 0.00
Mass density (g/cm3): 9.13
E_form (eV per atom): -0.1130
Volume (Å³ per cell): 325.11
Energy above the lowest structure with this stoichiometry (meV/atom): 0

Lattice parameters (Å, degrees): 4.110 8.756 9.154 99.25 90.00 90.00
Element x y z (fractional)
Ac1 0.750 0.263 0.928
Ac2 0.250 0.353 0.609
Ac3 0.750 0.058 0.336
Hg1 0.750 0.640 0.782
Ac4 0.750 0.647 0.391
C1 0.250 0.846 0.359
Ac5 0.250 0.942 0.664
Hg2 0.250 0.360 0.218
C2 0.750 0.154 0.641
Ac6 0.250 0.737 0.072

DFT (PBE) results for crystalline Ac4HgCI2 at its relaxed geometry.

Values from the calculation:
ΔE_f (raw) (eV/atom): -0.565
Space group: P2/m (10)
Spin magnetization (μB per atom): 0.04
Mass density (g/cm3): 7.94
Volume (Å³ per cell): 287.58

Lattice parameters (Å, degrees): 4.221 8.749 8.113 73.70 90.00 90.00
Element x y z (fractional)
Hg1 0.500 0.500 0.000
C1 0.000 0.500 0.500
I1 0.500 0.000 0.500
Ac1 0.000 0.307 0.288
I2 0.000 0.000 0.000
Ac2 0.500 0.319 0.696
Ac3 0.500 0.681 0.304
Ac4 0.000 0.693 0.712

Q: Among the records above, which one has the lowest mass density?
A: Ac4HgCI2

Q: Among the records above, which one has the highest volume?
A: number 2

Q: Which value of mass density does entry 2 give?
A: 9.13 g/cm3

Q: Number 2 is which compound?
A: Ac3HgC